No. 1
Computed, not measured: an optimized crystal structure of PrSm2Ni2Ge2 at the PBE-GGA level of DFT.

Cell: 4.2854 4.2854 29.5534 Å, 90.00 90.00 120.00°
Space group R-3m (No. 166, hexagonal axes)
Unique sites:
Pr: 0.0000 0.0000 0.0000 (multiplicity 3)
Sm: 0.0000 0.0000 0.1229 (multiplicity 6)
Ni: 0.0000 0.0000 0.3999 (multiplicity 6)
Ge: 0.0000 0.0000 0.2638 (multiplicity 6)

Computed properties:
- Calculated volume: 22.38 A^3/atom
- Calculated total energy: -117.58 eV/cell
- Energy relative to the elements: -0.60 eV/atom
- N(E_F): 13.87 states/eV/cell


No. 2
Computed, not measured: an optimized crystal structure of VMo2W4 at the PBE-GGA level of DFT.

Cell: 4.643 21.287 2.693 Å, 90.00 90.00 90.00°
Space group Cmmm (No. 65)
Unique sites:
V: 0.000 0.000 0.000 (multiplicity 2)
Mo: 0.000 0.098 0.500 (multiplicity 4)
W: 0.000 0.217 0.000 (multiplicity 4)
W: 0.000 0.342 0.500 (multiplicity 4)

Computed properties:
- Calculated volume: 19.01 A^3/atom
- Calculated total energy: -150.50 eV/cell
- Energy relative to the elements: 1.05 eV/atom
- E above lowest polymorph: 1.112 eV per atom
- N(E_F): 16.96 states/eV/cell


No. 3
Computed, not measured: an optimized crystal structure of BaTaBr2 at the PBE-GGA level of DFT.

Cell: 3.377 6.558 9.938 Å, 90.00 90.00 90.00°
Space group Cmmm (No. 65)
Unique sites:
Ba: 0.000 0.000 0.000 (multiplicity 2)
Ta: 0.000 0.000 0.500 (multiplicity 2)
Br: 0.000 0.500 0.288 (multiplicity 4)

Computed properties:
- Formation energy without anion corrections: 6 meV/atom
- Calculated volume: 27.52 A^3/atom
- Calculated total energy: -34.19 eV/cell
- E above lowest polymorph: 0.233 eV per atom
- N(E_F): 4.70 states/eV/cell


No. 4
Computed, not measured: an optimized crystal structure of Sc4In2Hg5 at the PBE-GGA level of DFT.

Cell: 16.512 4.707 6.398 Å, 90.00 91.05 90.00°
Space group C2/m (No. 12)
Unique sites:
Sc: 0.041 0.000 0.239 (multiplicity 4)
Sc: 0.178 0.500 0.438 (multiplicity 4)
In: 0.093 0.500 0.973 (multiplicity 4)
Hg: 0.000 0.500 0.500 (multiplicity 2)
Hg: 0.139 0.000 0.701 (multiplicity 4)
Hg: 0.222 0.000 0.164 (multiplicity 4)

Computed properties:
- Calculated volume: 22.60 A^3/atom
- Calculated total energy: -71.09 eV/cell
- Energy relative to the elements: -0.29 eV/atom
- N(E_F): 14.10 states/eV/cell


No. 5
Computed, not measured: an optimized crystal structure of Pr2Al3Au5 at the PBE-GGA level of DFT.

Cell: 4.286 4.286 11.604 Å, 90.00 90.00 90.00°
Space group P-4m2 (No. 115)
Unique sites:
Pr: 0.000 0.500 0.248 (multiplicity 2)
Al: 0.000 0.000 0.000 (multiplicity 1)
Al: 0.000 0.500 0.871 (multiplicity 2)
Au: 0.000 0.000 0.500 (multiplicity 1)
Au: 0.000 0.500 0.659 (multiplicity 2)
Au: 0.500 0.500 0.000 (multiplicity 1)
Au: 0.500 0.500 0.500 (multiplicity 1)

Computed properties:
- Calculated volume: 21.32 A^3/atom
- Calculated total energy: -42.80 eV/cell
- Energy relative to the elements: -0.56 eV/atom
- E above lowest polymorph: 0.127 eV per atom
- N(E_F): 4.47 states/eV/cell


No. 6
Computed, not measured: an optimized crystal structure of Re2TeRh at the PBE-GGA level of DFT.

Cell: 9.222 2.996 4.816 Å, 90.00 96.62 90.00°
Space group Cm (No. 8)
Unique sites:
Re: 0.000 0.000 0.000 (multiplicity 2)
Re: 0.233 0.500 0.196 (multiplicity 2)
Te: 0.233 0.000 0.694 (multiplicity 2)
Rh: 0.471 0.000 0.454 (multiplicity 2)

Computed properties:
- Formation energy without anion corrections: 482 meV/atom
- Calculated volume: 16.52 A^3/atom
- Calculated total energy: -66.92 eV/cell
- N(E_F): 8.96 states/eV/cell


No. 7
Computed, not measured: an optimized crystal structure of PuUIrRu at the PBE-GGA level of DFT.

Cell: 6.801 6.801 6.801 Å, 90.00 90.00 90.00°
Space group F-43m (No. 216)
Unique sites:
Pu: 0.000 0.000 0.000 (multiplicity 4)
U: 0.000 0.000 0.500 (multiplicity 4)
Ir: 0.250 0.250 0.250 (multiplicity 4)
Ru: 0.250 0.250 0.750 (multiplicity 4)

Computed properties:
- Calculated volume: 19.66 A^3/atom
- Calculated total energy: -179.38 eV/cell
- Energy relative to the elements: -0.27 eV/atom
- E above lowest polymorph: 0.099 eV per atom
- N(E_F): 36.62 states/eV/cell


No. 8
Computed, not measured: an optimized crystal structure of Ca3PrTh2Bi6 at the PBE-GGA level of DFT.

Cell: 8.056 13.946 7.954 Å, 90.00 109.71 90.00°
Space group C2/m (No. 12)
Unique sites:
Ca: 0.000 0.000 0.000 (multiplicity 2)
Ca: 0.000 0.335 0.000 (multiplicity 4)
Pr: 0.000 0.500 0.500 (multiplicity 2)
Th: 0.000 0.167 0.500 (multiplicity 4)
Bi: 0.245 0.000 0.747 (multiplicity 4)
Bi: 0.249 0.168 0.252 (multiplicity 8)

Computed properties:
- Calculated volume: 35.05 A^3/atom
- Calculated total energy: -116.03 eV/cell
- Energy relative to the elements: -0.76 eV/atom
- N(E_F): 12.96 states/eV/cell


No. 9
Computed, not measured: an optimized crystal structure of LaTb3Ho7 at the PBE-GGA level of DFT.

Cell: 6.943 5.544 9.886 Å, 90.00 109.18 90.00°
Space group P2/m (No. 10)
Unique sites:
La: 0.000 0.000 0.000 (multiplicity 1)
Tb: 0.278 0.500 0.496 (multiplicity 2)
Tb: 0.500 0.000 0.000 (multiplicity 1)
Ho: 0.000 0.000 0.500 (multiplicity 1)
Ho: 0.147 0.500 0.789 (multiplicity 2)
Ho: 0.326 0.500 0.142 (multiplicity 2)
Ho: 0.427 0.000 0.332 (multiplicity 2)

Computed properties:
- Calculated volume: 32.67 A^3/atom
- Calculated total energy: -49.25 eV/cell
- Energy relative to the elements: 0.15 eV/atom
- E above lowest polymorph: 0.000 eV per atom
- N(E_F): 17.25 states/eV/cell


No. 10
Computed, not measured: an optimized crystal structure of Ti2NbZn at the PBE-GGA level of DFT.

Cell: 3.420 4.460 8.833 Å, 90.00 90.00 90.00°
Space group Cmmm (No. 65)
Unique sites:
Ti: 0.000 0.000 0.249 (multiplicity 4)
Nb: 0.000 0.500 0.500 (multiplicity 2)
Zn: 0.000 0.500 0.000 (multiplicity 2)

Computed properties:
- Calculated volume: 16.84 A^3/atom
- Calculated total energy: -54.68 eV/cell
- Energy relative to the elements: -0.05 eV/atom
- N(E_F): 10.73 states/eV/cell


No. 11
Computed, not measured: an optimized crystal structure of Sr3CrGe at the PBE-GGA level of DFT.

Cell: 6.068 6.068 6.068 Å, 90.00 90.00 90.00°
Space group Pm-3m (No. 221)
Unique sites:
Sr: 0.000 0.000 0.500 (multiplicity 3)
Cr: 0.500 0.500 0.500 (multiplicity 1)
Ge: 0.000 0.000 0.000 (multiplicity 1)

Computed properties:
- Calculated volume: 44.68 A^3/atom
- Calculated total energy: -17.97 eV/cell
- Energy relative to the elements: 0.26 eV/atom
- E above lowest polymorph: 0.000 eV per atom
- N(E_F): 2.95 states/eV/cell


No. 12
Computed, not measured: an optimized crystal structure of NdY2Sn2Hg2 at the PBE-GGA level of DFT.

Cell: 5.0047 5.0047 26.9680 Å, 90.00 90.00 120.00°
Space group R-3m (No. 166, hexagonal axes)
Unique sites:
Nd: 0.0000 0.0000 0.0000 (multiplicity 3)
Y: 0.0000 0.0000 0.1313 (multiplicity 6)
Sn: 0.0000 0.0000 0.2683 (multiplicity 6)
Hg: 0.0000 0.0000 0.4330 (multiplicity 6)

Computed properties:
- Calculated volume: 27.86 A^3/atom
- Calculated total energy: -86.40 eV/cell
- Energy relative to the elements: -0.36 eV/atom
- N(E_F): 16.47 states/eV/cell


No. 13
Computed, not measured: an optimized crystal structure of Sm2Ho6Tm3Zr at the PBE-GGA level of DFT.

Cell: 6.066 10.489 11.594 Å, 90.00 99.98 90.00°
Space group C2/m (No. 12)
Unique sites:
Sm: 0.000 0.167 0.000 (multiplicity 4)
Ho: 0.244 0.500 0.752 (multiplicity 4)
Ho: 0.246 0.337 0.248 (multiplicity 8)
Tm: 0.000 0.000 0.500 (multiplicity 2)
Tm: 0.000 0.334 0.500 (multiplicity 4)
Zr: 0.000 0.500 0.000 (multiplicity 2)

Computed properties:
- Calculated volume: 30.27 A^3/atom
- Calculated total energy: -116.53 eV/cell
- Energy relative to the elements: 0.05 eV/atom
- N(E_F): 30.20 states/eV/cell


No. 14
Computed, not measured: an optimized crystal structure of Zr2CrW at the PBE-GGA level of DFT.

Cell: 6.558 6.558 6.558 Å, 90.00 90.00 90.00°
Space group F-43m (No. 216)
Unique sites:
Zr: 0.000 0.000 0.000 (multiplicity 4)
Zr: 0.250 0.250 0.250 (multiplicity 4)
Cr: 0.000 0.000 0.500 (multiplicity 4)
W: 0.250 0.250 0.750 (multiplicity 4)

Computed properties:
- Calculated volume: 17.63 A^3/atom
- Calculated total energy: -154.13 eV/cell
- Energy relative to the elements: 0.29 eV/atom
- E above lowest polymorph: 0.164 eV per atom
- N(E_F): 20.47 states/eV/cell


No. 15
Computed, not measured: an optimized crystal structure of CaAc2Sn3Au4 at the PBE-GGA level of DFT.

Cell: 4.759 4.759 11.785 Å, 90.00 90.00 90.00°
Space group P-4m2 (No. 115)
Unique sites:
Ca: 0.000 0.000 0.000 (multiplicity 1)
Ac: 0.000 0.500 0.720 (multiplicity 2)
Sn: 0.000 0.500 0.372 (multiplicity 2)
Sn: 0.500 0.500 0.000 (multiplicity 1)
Au: 0.000 0.000 0.500 (multiplicity 1)
Au: 0.000 0.500 0.143 (multiplicity 2)
Au: 0.500 0.500 0.500 (multiplicity 1)

Computed properties:
- Calculated volume: 26.69 A^3/atom
- Calculated total energy: -42.19 eV/cell
- Energy relative to the elements: -0.69 eV/atom
- N(E_F): 3.50 states/eV/cell


No. 16
Computed, not measured: an optimized crystal structure of K3HoNp3Te8 at the PBE-GGA level of DFT.

Cell: 15.576 9.003 9.812 Å, 90.00 121.80 90.00°
Space group C2/m (No. 12)
Unique sites:
K: 0.000 0.000 0.000 (multiplicity 2)
K: 0.250 0.250 0.000 (multiplicity 4)
Ho: 0.000 0.000 0.500 (multiplicity 2)
Np: 0.000 0.500 0.500 (multiplicity 2)
Np: 0.250 0.250 0.500 (multiplicity 4)
Te: 0.014 0.249 0.294 (multiplicity 8)
Te: 0.235 0.000 0.705 (multiplicity 4)
Te: 0.237 0.500 0.710 (multiplicity 4)

Computed properties:
- Formation energy without anion corrections: -955 meV/atom
- Calculated volume: 38.98 A^3/atom
- Calculated total energy: -172.32 eV/cell
- N(E_F): 43.52 states/eV/cell


No. 17
Computed, not measured: an optimized crystal structure of PrZrIn2 at the PBE-GGA level of DFT.

Cell: 4.788 4.788 4.487 Å, 90.00 90.00 90.00°
Space group P4/mmm (No. 123)
Unique sites:
Pr: 0.000 0.000 0.000 (multiplicity 1)
Zr: 0.500 0.500 0.000 (multiplicity 1)
In: 0.000 0.500 0.500 (multiplicity 2)

Computed properties:
- Calculated volume: 25.72 A^3/atom
- Calculated total energy: -19.89 eV/cell
- Energy relative to the elements: -0.27 eV/atom
- N(E_F): 4.44 states/eV/cell


No. 18
Computed, not measured: an optimized crystal structure of Zr2Sc2Hg3 at the PBE-GGA level of DFT.

Cell: 3.233 29.799 3.232 Å, 90.00 90.00 90.00°
Space group Cmmm (No. 65)
Unique sites:
Zr: 0.000 0.207 0.000 (multiplicity 4)
Sc: 0.000 0.068 0.000 (multiplicity 4)
Hg: 0.000 0.364 0.500 (multiplicity 4)
Hg: 0.000 0.500 0.500 (multiplicity 2)

Computed properties:
- Calculated volume: 22.24 A^3/atom
- Calculated total energy: -63.92 eV/cell
- Energy relative to the elements: -0.18 eV/atom
- N(E_F): 15.62 states/eV/cell


No. 19
Computed, not measured: an optimized crystal structure of AcLaSm at the PBE-GGA level of DFT.

Cell: 6.603 6.651 7.192 Å, 90.39 117.09 119.67°
Space group P-1 (No. 2)
Unique sites:
Ac: 0.154 0.412 0.258 (multiplicity 2)
La: 0.172 0.243 0.767 (multiplicity 2)
Sm: 0.497 0.928 0.746 (multiplicity 2)

Computed properties:
- Calculated volume: 38.84 A^3/atom
- Calculated total energy: -27.23 eV/cell
- Energy relative to the elements: 0.05 eV/atom
- E above lowest polymorph: 0.016 eV per atom
- N(E_F): 11.07 states/eV/cell


No. 20
Computed, not measured: an optimized crystal structure of Sc4Hg2Os at the PBE-GGA level of DFT.

Cell: 4.974 4.974 14.485 Å, 90.00 90.00 90.00°
Space group I4/mmm (No. 139)
Unique sites:
Sc: 0.000 0.000 0.176 (multiplicity 4)
Sc: 0.000 0.500 0.000 (multiplicity 4)
Hg: 0.000 0.000 0.373 (multiplicity 4)
Os: 0.000 0.000 0.000 (multiplicity 2)

Computed properties:
- Calculated volume: 25.59 A^3/atom
- Calculated total energy: -75.39 eV/cell
- Energy relative to the elements: -0.08 eV/atom
- N(E_F): 15.26 states/eV/cell


No. 21
Computed, not measured: an optimized crystal structure of Sm6Sb2Au at the PBE-GGA level of DFT.

Cell: 8.5721 8.5721 4.1509 Å, 90.00 90.00 120.00°
Space group P-62m (No. 189)
Unique sites:
Sm: 0.0000 0.4073 0.0000 (multiplicity 3)
Sm: 0.0000 0.7444 0.5000 (multiplicity 3)
Sb: 0.3333 0.6667 0.5000 (multiplicity 2)
Au: 0.0000 0.0000 0.0000 (multiplicity 1)

Computed properties:
- Formation energy without anion corrections: -718 meV/atom
- Calculated volume: 29.35 A^3/atom
- Calculated total energy: -46.30 eV/cell
- N(E_F): 11.58 states/eV/cell


No. 22
Computed, not measured: an optimized crystal structure of TbPmRu at the PBE-GGA level of DFT.

Cell: 4.7470 4.7470 3.6986 Å, 90.00 90.00 120.00°
Space group P3m1 (No. 156)
Unique sites:
Tb: 0.0000 0.0000 0.0000 (multiplicity 1)
Pm: 0.6667 0.3333 0.5500 (multiplicity 1)
Ru: 0.3333 0.6667 0.2481 (multiplicity 1)

Computed properties:
- Calculated volume: 24.06 A^3/atom
- Calculated total energy: -18.88 eV/cell
- Energy relative to the elements: -0.07 eV/atom
- E above lowest polymorph: 0.175 eV per atom
- N(E_F): 1.98 states/eV/cell


No. 23
Computed, not measured: an optimized crystal structure of Ba2MoN at the PBE-GGA level of DFT.

Cell: 11.371 11.371 3.988 Å, 90.00 90.00 90.00°
Space group I-42d (No. 122)
Unique sites:
Ba: 0.058 0.250 0.125 (multiplicity 8)
Mo: 0.000 0.000 0.500 (multiplicity 4)
N: 0.000 0.000 0.000 (multiplicity 4)

Computed properties:
- Formation energy without anion corrections: 47 meV/atom
- Calculated volume: 32.22 A^3/atom
- Calculated total energy: -91.25 eV/cell
- N(E_F): 18.25 states/eV/cell


Total magnetic moment, respectively: 0.001; 0.000; 1.746; 0.000; 0.000; 0.000; 25.912; 0.000; 0.001; 0.000; 5.790; 0.000; 0.000; 0.002; 0.000; 7.470; 0.003; 0.614; 0.000; 0.000; 0.003; 0.000; 2.274 μB per cell.